## a
# CdSbCl

Crystalline CdSbCl at its relaxed geometry (PBE, Alexandria).

The structure in CIF format:
```
data_CdSbCl
_cell_length_a 10.9760
_cell_length_b 11.5113
_cell_length_c 7.8577
_cell_angle_alpha 90.00
_cell_angle_beta 126.50
_cell_angle_gamma 90.00
_space_group_name_H-M_alt 'C 1 c 1'
_space_group_IT_number 9
_space_group_name_Hall 'C -2yc'
loop_
_atom_site_label
_atom_site_fract_x
_atom_site_fract_y
_atom_site_fract_z
_atom_site_occupancy
Cd1 0.0000 0.0560 0.0000 1
Cd2 0.1532 0.3048 0.8412 1
Sb1 0.2304 0.0714 0.5331 1
Sb2 0.3620 0.1237 0.9673 1
Cl1 0.2923 0.4989 0.0527 1
Cl2 0.4907 0.2225 0.4872 1
```

---

## b
# CdSbCl

Crystalline CdSbCl at its relaxed geometry (PBE, Alexandria).

The structure in CIF format:
```
data_CdSbCl
_cell_length_a 4.2419
_cell_length_b 4.2419
_cell_length_c 11.1381
_cell_angle_alpha 90.00
_cell_angle_beta 90.00
_cell_angle_gamma 90.00
_space_group_name_H-M_alt 'I 4 m m'
_space_group_IT_number 107
_space_group_name_Hall 'I 4 -2'
loop_
_atom_site_label
_atom_site_fract_x
_atom_site_fract_y
_atom_site_fract_z
_atom_site_occupancy
Cd1 0.0000 0.0000 0.0000 1
Sb1 0.0000 0.0000 0.4880 1
Cl1 0.0000 0.0000 0.2651 1
```

---

Of them, the most stable is a and the least stable is b.